## FeNi2Ir3 (GGA-PBE)

Data for a relaxed FeNi2Ir3 crystal.

Energy above the most stable polymorph in this dataset: 0.249 eV/atom
Calculated total energy: -45.26 eV/f.u.
Fermi-level density of states: 17.5 states/eV/cell
Formation enthalpy at 0 K: 224.9 meV per atom

a = 6.536 Å, b = 6.536 Å, c = 6.536 Å
α = 106.48°, β = 87.31°, γ = 139.75°
Atoms (fractional coordinates):
Fe (0.330, 0.080, 0.250)
Fe (0.670, 0.920, 0.750)
Ni (0.089, 0.469, 0.620)
Ni (0.348, 0.469, 0.880)
Ni (0.652, 0.531, 0.120)
Ni (0.911, 0.531, 0.380)
Ir (0.000, 0.000, 0.500)
Ir (0.000, 0.167, 0.167)
Ir (0.000, 0.500, 0.000)
Ir (0.000, 0.833, 0.833)
Ir (0.500, 0.167, 0.667)
Ir (0.500, 0.833, 0.333)